(1)
DFT (meta-GGA SCAN) results for a crystal of Zn4AsBr relaxed with PBEsol.

Structure (CIF):
```
data_Zn4AsBr
_chemical_formula_sum 'Zn16 As4 Br4'
_cell_length_a 7.474
_cell_length_b 7.474
_cell_length_c 7.474
_cell_angle_alpha 90.00
_cell_angle_beta 90.00
_cell_angle_gamma 90.00
_symmetry_space_group_name_H-M 'F -4 3 m'
_symmetry_Int_Tables_number 216
_symmetry_space_group_name_Hall 'F -4 2 3'
loop_
_atom_site_label
_atom_site_type_symbol
_atom_site_fract_x
_atom_site_fract_y
_atom_site_fract_z
Zn1 Zn 0.124 0.124 0.124
As1 As 0.250 0.250 0.750
Br1 Br 0.000 0.000 0.500
```

D(E_F) in states/eV per cell: 9.42
Spin magnetization in Bohr magnetons per cell: 0.0
Energy relative to the elements, uncorrected in meV/atom: 270.4
Uncorrected energy in eV per atom: -15.348

---

(2)
DFT (meta-GGA SCAN) results for a crystal of LiBe3Al relaxed with PBEsol.

Structure (CIF):
```
data_LiBe3Al
_chemical_formula_sum 'Li1 Be3 Al1'
_cell_length_a 4.321
_cell_length_b 4.321
_cell_length_c 4.321
_cell_angle_alpha 90.00
_cell_angle_beta 90.00
_cell_angle_gamma 90.00
_symmetry_space_group_name_H-M 'P m -3 m'
_symmetry_Int_Tables_number 221
_symmetry_space_group_name_Hall '-P 4 2 3'
loop_
_atom_site_label
_atom_site_type_symbol
_atom_site_fract_x
_atom_site_fract_y
_atom_site_fract_z
Li1 Li 0.000 0.000 0.000
Be1 Be 0.000 0.500 0.500
Al1 Al 0.500 0.500 0.500
```

D(E_F) in states/eV per cell: 0.86
Spin magnetization in Bohr magnetons per cell: 0.0
Energy of formation in meV/atom: 889
Uncorrected energy in eV per atom: -3.752